# 1
Ta2RuW | SCAN | single point on PBEsol structure

Calculated values
* total energy: -59.3196 eV per atom
* space group: R-3m
* DOS(E_F): 2.35 states/eV per cell

The structure in POSCAR format:
```
Ta2RuW
1.0
3.011 0.000 0.000
1.506 2.608 0.000
1.506 0.869 8.393
Ta W Ru
2 1 1
Direct
0.251 0.251 0.246 Ta
0.749 0.749 0.754 Ta
0.500 0.500 0.500 W
0.000 0.000 0.000 Ru
```



# 2
Ta2RuW | SCAN | single point on PBEsol structure

Calculated values
* total energy: -59.7727 eV per atom
* space group: P4/mmm
* DOS(E_F): 1.07 states/eV per cell

The structure in POSCAR format:
```
Ta2RuW
1.0
-1.977 1.589 1.905
0.127 -2.368 2.106
4.959 2.780 2.828
Ta W Ru
2 1 1
Direct
0.000 0.000 0.249 Ta
0.000 0.000 0.751 Ta
0.500 0.500 0.000 W
0.500 0.500 0.500 Ru
```



# 3
YTaRu2 | SCAN | single point on PBEsol structure

Calculated values
* total energy: -41.5385 eV per atom
* space group: P4/mmm
* DOS(E_F): 1.29 states/eV per cell

The structure in POSCAR format:
```
YTaRu2
1.0
3.190 0.000 0.000
0.000 3.190 0.000
0.000 0.000 6.724
Y Ru Ta
1 2 1
Direct
0.500 0.500 0.500 Y
0.000 0.000 0.779 Ru
0.000 0.000 0.221 Ru
0.500 0.500 0.000 Ta
```



Number 1: spin magnetization 0.000 μB/atom. Number 2: spin magnetization 0.000 μB/atom. Number 3: spin magnetization 0.000 μB/atom.